No. 1
Below is a geometry-optimized SrPaNi2 structure, with properties calculated at the GGA-PBE level.

abc: 3.4684 3.4684 7.2685
angles: 90.00 90.00 90.00
Fractional positions:
Sr1 0.0000 0.0000 0.0000
Pa1 0.0000 0.0000 0.5000
Ni1 0.5000 0.5000 0.3230
Ni2 0.5000 0.5000 0.6770

Results
Polymorph energy (0 for the lowest one): 0.00 eV/f.u.



No. 2
Below is a geometry-optimized SrPaNi2 structure, with properties calculated at the GGA-PBE level.

abc: 7.6305 7.6305 7.6305
angles: 29.25 29.25 29.25
Fractional positions:
Sr1 0.0000 0.0000 0.0000
Pa1 0.5000 0.5000 0.5000
Ni1 0.2336 0.2336 0.2336
Ni2 0.7664 0.7664 0.7664

Results
Polymorph energy (0 for the lowest one): 0.59 eV/f.u.



No. 3
Below is a geometry-optimized SrPaNi10 structure, with properties calculated at the GGA-PBE level.

abc: 3.9921 4.9531 8.5198
angles: 90.00 90.00 90.00
Fractional positions:
Sr1 0.0000 0.0000 0.0000
Pa1 0.0000 0.5000 0.5000
Ni1 0.0000 0.0000 0.3439
Ni2 0.0000 0.0000 0.6561
Ni3 0.0000 0.5000 0.1868
Ni4 0.0000 0.5000 0.8132
Ni5 0.5000 0.0000 0.5000
Ni6 0.5000 0.2564 0.2612
Ni7 0.5000 0.2564 0.7388
Ni8 0.5000 0.5000 0.0000
Ni9 0.5000 0.7436 0.2612
Ni10 0.5000 0.7436 0.7388



No. 4
Below is a geometry-optimized SrPaNi structure, with properties calculated at the GGA-PBE level.

abc: 12.9587 3.4711 3.4711
angles: 90.02 90.00 90.00
Fractional positions:
Sr1 0.1417 0.0000 0.0000
Sr2 0.8583 0.0000 0.0000
Pa1 0.3888 0.5014 0.5014
Pa2 0.6112 0.5014 0.5014
Ni1 0.0000 0.4998 0.4998
Ni2 0.5000 0.0016 0.0016



No. 5
Below is a geometry-optimized SrPaNi4 structure, with properties calculated at the GGA-PBE level.

abc: 5.1259 5.1259 5.1259
angles: 60.00 60.00 60.00
Fractional positions:
Sr1 0.0000 0.0000 0.0000
Pa1 0.7500 0.7500 0.7500
Ni1 0.3761 0.3761 0.3761
Ni2 0.3761 0.3761 0.8717
Ni3 0.3761 0.8717 0.3761
Ni4 0.8717 0.3761 0.3761



No. 6
Below is a geometry-optimized PaTa2Ni9 structure, with properties calculated at the GGA-PBE level.

abc: 8.3819 8.3819 8.3819
angles: 33.28 33.28 33.28
Fractional positions:
Pa1 0.0000 0.0000 0.0000
Ta1 0.1423 0.1423 0.1423
Ta2 0.8577 0.8577 0.8577
Ni1 0.0829 0.5884 0.5884
Ni2 0.3334 0.3334 0.3334
Ni3 0.4116 0.4116 0.9171
Ni4 0.4116 0.9171 0.4116
Ni5 0.5000 0.5000 0.5000
Ni6 0.5884 0.0829 0.5884
Ni7 0.5884 0.5884 0.0829
Ni8 0.6666 0.6666 0.6666
Ni9 0.9171 0.4116 0.4116



No. 7
Below is a geometry-optimized PaTaNi structure, with properties calculated at the GGA-PBE level.

abc: 4.2536 4.2536 3.8318
angles: 90.00 90.00 120.00
Fractional positions:
Pa1 0.0000 0.0000 0.0000
Ta1 0.3333 0.6667 0.5000
Ni1 0.6667 0.3333 0.5000

Results
Polymorph energy (0 for the lowest one): 1.13 eV/f.u.



No. 8
Below is a geometry-optimized PaTaNi structure, with properties calculated at the GGA-PBE level.

abc: 6.4239 6.4239 6.4239
angles: 152.98 152.98 38.59
Fractional positions:
Pa1 0.0000 0.0000 0.0000
Ta1 0.3040 0.3040 0.0000
Ni1 0.6752 0.6752 0.0000

Results
Polymorph energy (0 for the lowest one): 0.39 eV/f.u.



No. 9
Below is a geometry-optimized Pa2TaNi structure, with properties calculated at the GGA-PBE level.

abc: 10.5730 10.5730 10.5730
angles: 16.40 16.40 16.40
Fractional positions:
Pa1 0.0808 0.0808 0.0808
Pa2 0.9192 0.9192 0.9192
Ta1 0.5000 0.5000 0.5000
Ni1 0.0000 0.0000 0.0000



No. 10
Below is a geometry-optimized PaTaNi10 structure, with properties calculated at the GGA-PBE level.

abc: 3.9801 4.7274 8.2099
angles: 90.00 90.00 90.00
Fractional positions:
Pa1 0.0000 0.0000 0.0000
Ta1 0.0000 0.5000 0.5000
Ni1 0.0000 0.0000 0.3399
Ni2 0.0000 0.0000 0.6601
Ni3 0.0000 0.5000 0.1757
Ni4 0.0000 0.5000 0.8243
Ni5 0.5000 0.0000 0.5000
Ni6 0.5000 0.2544 0.2579
Ni7 0.5000 0.2544 0.7421
Ni8 0.5000 0.5000 0.0000
Ni9 0.5000 0.7456 0.2579
Ni10 0.5000 0.7456 0.7421



No. 11
Below is a geometry-optimized PaTaNi structure, with properties calculated at the GGA-PBE level.

abc: 10.2948 9.6086 5.2119
angles: 82.25 67.64 30.11
Fractional positions:
Pa1 0.0489 0.0489 0.2011
Pa2 0.2011 0.2011 0.0489
Pa3 0.7989 0.7989 0.9511
Pa4 0.9511 0.9511 0.7989
Ta1 0.2025 0.5475 0.2025
Ta2 0.4525 0.7975 0.4525
Ta3 0.5475 0.2025 0.5475
Ta4 0.7975 0.4525 0.7975
Ni1 0.2521 0.2521 0.4979
Ni2 0.4979 0.4979 0.2521
Ni3 0.5021 0.5021 0.7479
Ni4 0.7479 0.7479 0.5021

Results
Polymorph energy (0 for the lowest one): 0.00 eV/f.u.



No. 12
Below is a geometry-optimized TbPaNi3 structure, with properties calculated at the GGA-PBE level.

abc: 12.4667 12.4667 4.0555
angles: 90.00 90.00 163.33
Fractional positions:
Tb1 0.0697 0.9303 0.7500
Tb2 0.9303 0.0697 0.2500
Pa1 0.1995 0.8005 0.2500
Pa2 0.8005 0.1995 0.7500
Ni1 0.3156 0.6844 0.2500
Ni2 0.3791 0.6209 0.7500
Ni3 0.4753 0.5247 0.7500
Ni4 0.5247 0.4753 0.2500
Ni5 0.6209 0.3791 0.2500
Ni6 0.6844 0.3156 0.7500



No. 13
Below is a geometry-optimized Tb2PaNi structure, with properties calculated at the GGA-PBE level.

abc: 10.5903 10.5903 10.5903
angles: 18.09 18.09 18.09
Fractional positions:
Tb1 0.1048 0.1048 0.1048
Tb2 0.8952 0.8952 0.8952
Pa1 0.0000 0.0000 0.0000
Ni1 0.5000 0.5000 0.5000

Results
Polymorph energy (0 for the lowest one): 1.13 eV/f.u.



no.,formation enthalpy at 0 K (eV per atom)
1,-0.194
2,-0.046
3,-0.220
4,0.228
5,-0.076
6,-0.325
7,0.183
8,-0.063
9,0.340
10,-0.218
11,-0.193
12,-0.397
13,0.237